HfTi6 | PBE | relaxed

Results
SG = Im-3m, No. 229
D(E_F) = 1.3627 states/eV per atom
energy relative to the elements = 1678 meV/atom

Cell: 5.8607 5.8607 5.8607 Å, 109.47 109.47 109.47°
With the nearest neighbours (Å) after each atom.
Fractional positions:
Hf (0.0000, 0.0000, 0.0000)  24 Ti 3.78
Ti (0.2500, 0.5000, 0.7500)  4 Ti 2.39
Ti (0.2500, 0.7500, 0.5000)  4 Ti 2.39
Ti (0.5000, 0.2500, 0.7500)  4 Ti 2.39
Ti (0.5000, 0.7500, 0.2500)  4 Ti 2.39
Ti (0.7500, 0.2500, 0.5000)  4 Ti 2.39
Ti (0.7500, 0.5000, 0.2500)  4 Ti 2.39